[1]
Density functional theory data (GGA-PBE) for Ac2InAg2O6 after structural relaxation.

raw formation energy = -1.560 eV/atom
size of the total moment = 0.41 μB/cell
raw total energy = -190.7 eV per cell

Lattice parameters (Å, degrees): 6.3509 6.3509 16.3364 90.00 90.00 120.00
Space group R-3m (No. 166, hexagonal axes)
One atom of each set of equivalent atoms:
Ac 0.0000 0.0000 0.2075
In 0.0000 0.0000 0.0000
Ag 0.0000 0.0000 0.4117
O 0.0505 0.5252 0.7608

[2]
Density functional theory data (GGA-PBE) for Ti2MnAl after structural relaxation.

size of the total moment = 0.00 μB/cell
raw total energy = -112.1 eV per cell
energy of formation = 16 kJ/mol of atoms

Lattice parameters (Å, degrees): 6.9497 6.9497 5.1796 90.00 90.00 90.00
Space group I-42d (No. 122)
One atom of each set of equivalent atoms:
Ti 0.2052 0.2500 0.1250
Mn 0.0000 0.0000 0.0000
Al 0.0000 0.0000 0.5000

[3]
Density functional theory data (GGA-PBE) for NaSnNO2 after structural relaxation.

raw formation energy = 0.746 eV/atom
size of the total moment = 4.00 μB/cell
raw total energy = -19.8 eV per cell

Lattice parameters (Å, degrees): 4.2022 4.2022 4.2512 90.00 90.00 90.00
Space group P4/mmm (No. 123)
One atom of each set of equivalent atoms:
Na 0.0000 0.0000 0.0000
Sn 0.5000 0.5000 0.5000
N 0.0000 0.0000 0.5000
O 0.0000 0.5000 0.0000

[4]
Density functional theory data (GGA-PBE) for CePmCo3 after structural relaxation.

size of the total moment = 1.64 μB/cell
raw total energy = -131.1 eV per cell
energy of formation = -15 kJ/mol of atoms

Lattice parameters (Å, degrees): 4.0281 21.8176 4.1586 90.00 90.00 90.00
Space group Cmcm (No. 63)
One atom of each set of equivalent atoms:
Ce 0.0000 0.2095 0.2500
Pm 0.0000 0.0734 0.7500
Co 0.0000 0.3133 0.2500
Co 0.0000 0.3707 0.7500
Co 0.0000 0.4757 0.7500

[5]
Density functional theory data (GGA-PBE) for Al3NiS after structural relaxation.

raw formation energy = 0.666 eV/atom
size of the total moment = 0.00 μB/cell
raw total energy = -17.8 eV per cell

Lattice parameters (Å, degrees): 4.5848 4.5848 4.5848 90.00 90.00 90.00
Space group Pm-3m (No. 221)
One atom of each set of equivalent atoms:
Al 0.0000 0.0000 0.5000
Ni 0.5000 0.5000 0.5000
S 0.0000 0.0000 0.0000

[6]
Density functional theory data (GGA-PBE) for YTeI2F after structural relaxation.

raw formation energy = -0.684 eV/atom
size of the total moment = 2.02 μB/cell
raw total energy = -18.0 eV per cell

Lattice parameters (Å, degrees): 5.9023 5.9023 6.1409 90.00 90.00 90.00
Space group P4/mmm (No. 123)
One atom of each set of equivalent atoms:
Y 0.0000 0.0000 0.0000
Te 0.0000 0.0000 0.5000
I 0.0000 0.5000 0.0000
F 0.5000 0.5000 0.5000